Na3TaV2O8 | Alexandria | PBE with a Hubbard U | relaxed; SG = P-3m1 (164); final energy = -7.105 eV/atom; Fermi-level density of states = 4.330 states/eV/f.u.
1.0
5.671 0.000 0.000
-2.836 4.911 0.000
0.000 0.000 6.910
Na Ta V O
3 1 2 8
Direct
0.000 0.000 0.000
0.333 0.667 0.647
0.667 0.333 0.353
0.000 0.000 0.500
0.333 0.667 0.211
0.667 0.333 0.789
0.164 0.329 0.330
0.164 0.836 0.330
0.329 0.164 0.670
0.333 0.667 0.966
0.667 0.333 0.034
0.671 0.836 0.330
0.836 0.164 0.670
0.836 0.671 0.670